Record 1
## LiPuCdCl6 (PBE-GGA)

Data for a relaxed structure of LiPuCdCl6.

Cell and atoms, written as POSCAR:
```
LiPuCdCl6
1.0
6.7803 0.0000 0.0000
-3.3902 5.8719 0.0000
0.0000 0.0000 11.9277
Pu Li Cl Cd
2 2 12 2
Cartesian
0.0000 3.9146 8.9458
3.3902 1.9573 2.9819
0.0000 0.0000 5.9639
0.0000 0.0000 0.0000
1.0948 1.9812 4.4682
4.5171 0.0425 10.4321
2.2218 3.9332 1.4957
5.6119 1.9388 7.4595
-1.1270 5.8295 1.4957
1.1684 1.9388 10.4321
-1.0948 1.9812 1.4957
-2.2218 3.9332 4.4682
1.1270 5.8295 4.4682
2.2954 3.8907 7.4595
4.4850 3.8907 10.4321
2.2632 0.0425 7.4595
3.3902 1.9573 8.9458
0.0000 3.9146 2.9819
```

## Properties
Raw formation energy: -14.060 eV per formula unit
E: -84.601 eV/cell
Symmetry: P-31c (163)



Record 2
## RbLiCd2Cl6 (PBE-GGA)

Data for a relaxed structure of RbLiCd2Cl6.

Cell and atoms, written as POSCAR:
```
RbLiCd2Cl6
1.0
-2.7195 -4.3240 -5.9945
-7.4314 -4.9347 3.6360
-6.2263 5.7303 -4.6036
Cl Cd Li Rb
12 4 2 2
Cartesian
-10.7074 -1.1719 -8.3412
-10.0712 -1.1687 -4.4398
-6.3061 -2.3597 -2.5222
-7.5081 -3.1256 -6.5980
-8.8691 -0.4027 -0.3641
-12.6700 -0.9359 -1.3159
-6.4592 0.5293 -5.5180
-5.6698 -2.3565 1.3791
-3.7072 -2.5924 -5.6462
-2.5371 -2.1089 -1.3522
-13.8401 -1.4194 -5.6099
-9.9180 -4.0577 -1.4441
-11.5597 -2.2092 -6.2591
-4.8175 -1.3192 -0.7030
-5.9919 -1.8406 -4.9677
-10.3853 -1.6877 -1.9944
-9.2338 -6.0779 -2.4821
-7.1435 2.5496 -4.4800
-7.9571 -4.6516 1.0836
-8.4201 1.1233 -8.0456
```

## Properties
Raw formation energy: -13.899 eV per formula unit
E: -59.381 eV/cell
Symmetry: C2/c (15)



Record 3
## Rb4LiCd3Cl12 (PBE-GGA)

Data for a relaxed structure of Rb4LiCd3Cl12.

Cell and atoms, written as POSCAR:
```
Rb4LiCd3Cl12
1.0
-5.0068 -6.7397 3.4621
7.3117 -3.4693 -4.1207
2.6413 5.5510 6.6849
Cl Rb Cd Li
12 4 3 1
Cartesian
1.7262 -7.6460 -0.4933
3.6407 -4.5841 0.3117
5.5527 -1.5114 1.1174
0.5610 -5.4017 2.2074
-0.6066 -3.1466 4.9088
-1.7717 -0.8903 7.5996
1.3055 -0.0739 5.7145
2.4987 0.5226 0.6437
0.5786 -2.5630 -0.1654
-0.5939 -0.2984 2.5474
4.3851 0.7436 3.8188
7.4543 1.5590 1.9205
1.3206 2.7755 3.3424
2.4731 -2.3290 3.0131
-2.5034 -3.3698 1.7310
3.6558 -1.7347 -2.0603
4.9765 1.0408 1.2821
1.1524 -5.1045 -0.3293
-1.1828 -0.5944 5.0735
0.0000 0.0000 0.0000
```

## Properties
Raw formation energy: -28.353 eV per formula unit
E: -59.042 eV/cell
Symmetry: Im-3m (229)



Record 4
## Rb3Li2CdCl6 (PBE-GGA)

Data for a relaxed structure of Rb3Li2CdCl6.

Cell and atoms, written as POSCAR:
```
Rb3Li2CdCl6
1.0
7.7286 0.0000 0.0000
-3.8643 6.6931 0.0000
0.0000 0.0000 8.4852
Cl Li Rb Cd
6 2 3 1
Cartesian
5.7453 1.1450 6.1104
-1.8811 5.5481 2.3748
0.0000 2.2900 2.3748
1.8811 5.5481 2.3748
3.8643 4.4031 6.1104
1.9832 1.1450 6.1104
3.8643 2.2310 6.6823
0.0000 4.4621 1.8029
0.0000 0.0000 0.0000
0.0000 4.4621 5.2311
3.8643 2.2310 3.2540
0.0000 0.0000 4.2426
```

## Properties
Raw formation energy: -18.336 eV per formula unit
E: -37.062 eV/cell
Symmetry: P-3m1 (164)



Record 5
## Rb2LiCdCl6 (PBE-GGA)

Data for a relaxed structure of Rb2LiCdCl6.

Cell and atoms, written as POSCAR:
```
Rb2LiCdCl6
1.0
-1.3705 -0.4581 7.5022
3.8338 -6.6018 0.2973
5.0791 -1.2578 4.7413
Rb Cd Li Cl
2 1 1 6
Cartesian
5.0723 -5.6948 4.4692
2.4701 -2.6229 8.0716
0.0000 0.0000 0.0000
1.2316 -3.5300 3.8997
-0.0839 -1.9770 5.7210
3.0457 -2.4586 4.2965
2.5472 -5.0830 2.0785
4.4967 -5.8591 8.2442
1.8543 -5.3146 5.8713
0.6090 -1.7454 1.9282
```

## Properties
Raw formation energy: -13.440 eV per formula unit
E: -29.284 eV/cell
Symmetry: I4/mmm (139)



Record 6
## Rb3LiCd2Cl9 (PBE-GGA)

Data for a relaxed structure of Rb3LiCd2Cl9.

Cell and atoms, written as POSCAR:
```
Rb3LiCd2Cl9
1.0
7.3393 0.0000 0.0000
-3.6696 6.3560 0.0000
0.0000 0.0000 9.0907
Rb Cl Cd Li
3 9 2 1
Cartesian
0.0000 0.0000 0.0000
0.0000 4.2373 6.0082
3.6696 2.1187 3.0825
3.6696 4.2764 6.0484
-1.8348 3.1780 0.0000
3.6696 0.0000 0.0000
-1.8687 5.3162 3.0422
5.5383 1.0398 6.0484
0.0000 2.0795 3.0422
1.8687 5.3162 3.0422
1.8009 1.0398 6.0484
1.8348 3.1780 0.0000
3.6696 2.1187 7.4800
0.0000 4.2373 1.6106
0.0000 0.0000 4.5453
```

## Properties
Raw formation energy: -21.212 eV per formula unit
E: -44.478 eV/cell
Symmetry: P-3m1 (164)



Record 7
## LiCdRhCl6 (PBE-GGA)

Data for a relaxed structure of LiCdRhCl6.

Cell and atoms, written as POSCAR:
```
LiCdRhCl6
1.0
5.9772 0.0000 0.0000
0.0000 5.9772 0.0000
0.0000 0.0000 11.3645
Cd Cl Rh Li
2 12 2 2
Cartesian
2.9886 2.9886 1.9287
0.0000 0.0000 7.6109
4.8795 1.0977 1.9830
1.8909 1.8909 7.6652
4.1250 4.1250 11.1927
4.2891 4.2891 3.8478
4.0863 4.0863 7.6652
1.0977 4.8795 1.9830
1.6881 1.6881 3.8478
4.6767 1.3005 9.5300
1.3005 4.6767 9.5300
1.8522 1.8522 11.1927
1.1364 4.8408 5.5105
4.8408 1.1364 5.5105
2.9886 2.9886 9.4602
0.0000 0.0000 3.7780
2.9886 2.9886 5.7041
0.0000 0.0000 0.0219
```

## Properties
Raw formation energy: -8.769 eV per formula unit
E: -60.059 eV/cell
Symmetry: P4_2nm (102)



Record 8
## LiCdSCl2 (PBE-GGA)

Data for a relaxed structure of LiCdSCl2.

Cell and atoms, written as POSCAR:
```
LiCdSCl2
1.0
5.3035 0.0000 0.0000
0.0000 5.3035 0.0000
0.0000 0.0000 5.0349
Cd S Cl Li
1 1 2 1
Cartesian
0.0000 0.0000 0.0000
0.0000 0.0000 2.5174
0.0000 2.6518 0.0000
2.6518 0.0000 0.0000
2.6518 2.6518 2.5174
```

## Properties
Raw formation energy: -2.708 eV per formula unit
Excess energy over the best structure of this formula in the dataset: 0.0 meV/atom
E: -13.357 eV/cell
Symmetry: P4/mmm (123)